(1)
Entry from Alexandria: an optimized crystal structure of SrAcIn2 (PBE).

Unit cell a=8.1898 b=8.1898 c=8.1898 alpha=90.00 beta=90.00 gamma=90.00
With the nearest neighbours (Å) after each atom.
Space group Fm-3m (No. 225)
Unique sites:
Sr 0.0000 0.0000 0.0000 (multiplicity 4)  8 In 3.55
Ac 0.0000 0.0000 0.5000 (multiplicity 4)  8 In 3.55
In 0.2500 0.2500 0.2500 (multiplicity 8)  4 Ac 3.55, 4 Sr 3.55

Calculated values
Formation enthalpy at 0 K: -162.6 kJ/mol of formula units
Crystal system: cubic



(2)
Entry from Alexandria: an optimized crystal structure of AcSc2O (PBE).

Unit cell a=3.3687 b=3.3687 c=27.4092 alpha=90.00 beta=90.00 gamma=120.00
With the nearest neighbours (Å) after each atom.
Space group R-3m (No. 166, hexagonal axes)
Unique sites:
Ac 0.0000 0.0000 0.0000 (multiplicity 3)  6 Ac 3.37, 2 Sc 3.40
Sc 0.0000 0.0000 0.1241 (multiplicity 6)  3 O 2.27
O 0.0000 0.0000 0.5000 (multiplicity 3)  6 Sc 2.27

Calculated values
Uncorrected formation energy: -4.658 eV per formula unit
Excess energy over the best structure of this formula in the dataset: 0.000 eV per atom
Crystal system: trigonal



| no. | DOS at the Fermi energy (states/eV/atom) |
| --- | --- |
| 1 | 0.95 |
| 2 | 0.85 |